<one>
This record from the Alexandria database describes a geometry-optimized TbGePb structure. The functional is GGA-PBE.

Values from the calculation:
Theoretical density = 9.55 g/cm3
SG = Cmcm
DOS at the Fermi energy = 0.423 states/eV per atom

Lattice parameters (Å, degrees): 4.106 4.430 8.674 75.20 90.00 90.00
Fractional positions:
Tb 0.250 0.910 0.180
Tb 0.750 0.090 0.820
Pb 0.250 0.265 0.470
Pb 0.750 0.735 0.530
Ge 0.250 0.552 0.896
Ge 0.750 0.448 0.104

=====

<two>
This record from the Alexandria database describes a geometry-optimized TbGePb structure. The functional is GGA-PBE.

Values from the calculation:
Theoretical density = 9.22 g/cm3
SG = P3m1
DOS at the Fermi energy = 0.752 states/eV per atom

Lattice parameters (Å, degrees): 3.772 4.919 4.919 120.00 90.00 90.00
Fractional positions:
Pb 0.749 0.667 0.333
Ge 0.944 0.000 0.000
Tb 0.307 0.333 0.667

=====

Quick one: most stable of them? <one>

=====

<one>
This record from the Alexandria database describes a geometry-optimized Tc3GePb structure. The functional is GGA-PBE.

Values from the calculation:
Theoretical density = 9.70 g/cm3
SG = Pm-3m
DOS at the Fermi energy = 0.570 states/eV per atom

Lattice parameters (Å, degrees): 4.614 4.614 4.614 90.00 90.00 90.00
Fractional positions:
Pb 0.500 0.500 0.500
Ge 0.000 0.000 0.000
Tc 0.000 0.500 0.000
Tc 0.000 0.000 0.500
Tc 0.500 0.000 0.000

=====

<two>
This record from the Alexandria database describes a geometry-optimized Tc3GePb structure. The functional is GGA-PBE.

Values from the calculation:
Theoretical density = 7.13 g/cm3
SG = Pm-3m
DOS at the Fermi energy = 1.466 states/eV per atom

Lattice parameters (Å, degrees): 5.112 5.112 5.112 90.00 90.00 90.00
Fractional positions:
Pb 0.000 0.000 0.000
Ge 0.500 0.500 0.500
Tc 0.000 0.500 0.000
Tc 0.000 0.000 0.500
Tc 0.500 0.000 0.000

=====

Quick one: most stable of them? <one>

=====

<one>
This record from the Alexandria database describes a geometry-optimized TcGe2Pb2 structure. The functional is GGA-PBE.

Values from the calculation:
Theoretical density = 8.42 g/cm3
SG = I4/mmm
DOS at the Fermi energy = 0.754 states/eV per atom

Lattice parameters (Å, degrees): 4.228 4.228 7.847 74.37 74.37 90.00
Fractional positions:
Pb 0.750 0.250 0.500
Pb 0.250 0.750 0.500
Ge 0.417 0.417 0.167
Ge 0.583 0.583 0.833
Tc 0.000 0.000 0.000

=====

<two>
This record from the Alexandria database describes a geometry-optimized TcGe2Pb2 structure. The functional is GGA-PBE.

Values from the calculation:
Theoretical density = 9.60 g/cm3
SG = P4/mbm
DOS at the Fermi energy = 0.329 states/eV per atom

Lattice parameters (Å, degrees): 6.644 6.644 5.152 90.00 90.00 90.00
Fractional positions:
Pb 0.181 0.681 0.500
Pb 0.681 0.819 0.500
Pb 0.819 0.319 0.500
Pb 0.319 0.181 0.500
Ge 0.351 0.851 0.000
Ge 0.851 0.649 0.000
Ge 0.649 0.149 0.000
Ge 0.149 0.351 0.000
Tc 0.000 0.000 0.000
Tc 0.500 0.500 0.000

=====

Quick one: most stable of them? <two>

=====

<one>
This record from the Alexandria database describes a geometry-optimized GeTe4Pb3 structure. The functional is GGA-PBE.

Values from the calculation:
Theoretical density = 7.48 g/cm3
SG = P4/mmm

Lattice parameters (Å, degrees): 4.554 4.554 12.896 90.00 90.00 90.00
Fractional positions:
Ge 0.000 0.000 0.000
Te 0.000 0.000 0.238
Te 0.500 0.500 0.000
Te 0.000 0.000 0.762
Te 0.500 0.500 0.500
Pb 0.500 0.500 0.753
Pb 0.000 0.000 0.500
Pb 0.500 0.500 0.247

=====

<two>
This record from the Alexandria database describes a geometry-optimized GeTe4Pb3 structure. The functional is GGA-PBE.

Values from the calculation:
Theoretical density = 7.47 g/cm3
SG = P2/c

Lattice parameters (Å, degrees): 7.891 7.880 9.132 90.00 90.00 109.48
Fractional positions:
Pb 0.750 0.000 0.369
Pb 0.250 0.000 0.631
Pb 0.750 0.500 0.642
Pb 0.750 0.500 0.126
Pb 0.250 0.500 0.358
Pb 0.250 0.500 0.874
Ge 0.750 0.000 0.857
Ge 0.250 0.000 0.143
Te 0.987 0.238 0.636
Te 0.504 0.234 0.883
Te 0.487 0.238 0.364
Te 0.004 0.234 0.117
Te 0.996 0.766 0.883
Te 0.513 0.762 0.636
Te 0.496 0.766 0.117
Te 0.013 0.762 0.364

=====

Quick one: most stable of them? <two>

=====

<one>
This record from the Alexandria database describes a geometry-optimized Ge2Te2Pb structure. The functional is GGA-PBE.

Values from the calculation:
Theoretical density = 6.80 g/cm3
SG = P4/mbm
DOS at the Fermi energy = 0.695 states/eV per atom

Lattice parameters (Å, degrees): 8.716 8.716 3.909 90.00 90.00 90.00
Fractional positions:
Pb 0.000 0.000 0.000
Pb 0.500 0.500 0.000
Ge 0.187 0.687 0.500
Ge 0.687 0.813 0.500
Ge 0.813 0.313 0.500
Ge 0.313 0.187 0.500
Te 0.346 0.846 0.000
Te 0.846 0.654 0.000
Te 0.654 0.154 0.000
Te 0.154 0.346 0.000

=====

<two>
This record from the Alexandria database describes a geometry-optimized Ge2Te2Pb structure. The functional is GGA-PBE.

Values from the calculation:
Theoretical density = 7.41 g/cm3
SG = P4/mbm
DOS at the Fermi energy = 0.599 states/eV per atom

Lattice parameters (Å, degrees): 8.264 8.264 3.991 90.00 90.00 90.00
Fractional positions:
Pb 0.000 0.000 0.000
Pb 0.500 0.500 0.000
Ge 0.368 0.868 0.000
Ge 0.868 0.632 0.000
Ge 0.632 0.132 0.000
Ge 0.132 0.368 0.000
Te 0.193 0.693 0.500
Te 0.693 0.807 0.500
Te 0.807 0.307 0.500
Te 0.307 0.193 0.500

=====

<three>
This record from the Alexandria database describes a geometry-optimized Ge2Te2Pb structure. The functional is GGA-PBE.

Values from the calculation:
Theoretical density = 7.29 g/cm3
SG = I4/mmm
DOS at the Fermi energy = 0.628 states/eV per atom

Lattice parameters (Å, degrees): 3.926 3.926 9.397 77.94 77.94 90.00
Fractional positions:
Pb 0.000 0.000 0.000
Ge 0.750 0.250 0.500
Ge 0.250 0.750 0.500
Te 0.390 0.390 0.220
Te 0.610 0.610 0.780

=====

<four>
This record from the Alexandria database describes a geometry-optimized Ge2Te2Pb structure. The functional is GGA-PBE.

Values from the calculation:
Theoretical density = 6.96 g/cm3
SG = I4/mmm
DOS at the Fermi energy = 0.418 states/eV per atom

Lattice parameters (Å, degrees): 5.740 5.740 5.987 61.35 61.35 90.00
Fractional positions:
Pb 0.000 0.000 0.000
Ge 0.348 0.348 0.303
Ge 0.652 0.652 0.697
Te 0.750 0.250 0.500
Te 0.250 0.750 0.500

=====

Quick one: most stable of them? <four>

=====

<one>
This record from the Alexandria database describes a geometry-optimized Ge2TePb2 structure. The functional is GGA-PBE.

Values from the calculation:
Theoretical density = 8.34 g/cm3
SG = P4/mbm
DOS at the Fermi energy = 0.663 states/eV per atom

Lattice parameters (Å, degrees): 7.977 7.977 4.300 90.00 90.00 90.00
Fractional positions:
Pb 0.184 0.684 0.500
Pb 0.684 0.816 0.500
Pb 0.816 0.316 0.500
Pb 0.316 0.184 0.500
Ge 0.384 0.884 0.000
Ge 0.884 0.616 0.000
Ge 0.616 0.116 0.000
Ge 0.116 0.384 0.000
Te 0.000 0.000 0.000
Te 0.500 0.500 0.000

=====

<two>
This record from the Alexandria database describes a geometry-optimized Ge2TePb2 structure. The functional is GGA-PBE.

Values from the calculation:
Theoretical density = 8.21 g/cm3
SG = I4/mmm
DOS at the Fermi energy = 0.548 states/eV per atom

Lattice parameters (Å, degrees): 3.972 3.972 9.252 77.61 77.61 90.00
Fractional positions:
Pb 0.393 0.393 0.214
Pb 0.607 0.607 0.786
Ge 0.750 0.250 0.500
Ge 0.250 0.750 0.500
Te 0.000 0.000 0.000

=====

Quick one: most stable of them? <two>

=====

<one>
This record from the Alexandria database describes a geometry-optimized Ge2TePb structure. The functional is GGA-PBE.

Values from the calculation:
Theoretical density = 5.67 g/cm3
SG = I-42d
DOS at the Fermi energy = 1.087 states/eV per atom

Lattice parameters (Å, degrees): 6.260 6.260 8.436 68.22 68.22 90.00
Fractional positions:
Pb 0.000 0.000 0.000
Pb 0.750 0.250 0.500
Ge 0.624 0.125 0.250
Ge 0.126 0.625 0.250
Ge 0.375 0.376 0.750
Ge 0.875 0.874 0.750
Te 0.500 0.500 0.000
Te 0.250 0.750 0.500

=====

<two>
This record from the Alexandria database describes a geometry-optimized Ge2TePb structure. The functional is GGA-PBE.

Values from the calculation:
Theoretical density = 8.02 g/cm3
SG = Fm-3m
DOS at the Fermi energy = 0.731 states/eV per atom

Lattice parameters (Å, degrees): 5.199 5.199 5.199 60.00 60.00 60.00
Fractional positions:
Pb 0.500 0.500 0.500
Ge 0.250 0.250 0.250
Ge 0.750 0.750 0.750
Te 0.000 0.000 0.000

=====

Quick one: most stable of them? <two>

=====

<one>
This record from the Alexandria database describes a geometry-optimized ThGePb structure. The functional is GGA-PBE.

Values from the calculation:
Theoretical density = 9.56 g/cm3
SG = P-62m
DOS at the Fermi energy = 0.918 states/eV per atom

Lattice parameters (Å, degrees): 3.655 9.179 9.179 120.00 90.00 90.00
Fractional positions:
Pb 0.000 0.000 0.711
Pb 0.000 0.711 0.000
Pb 0.000 0.289 0.289
Th 0.000 0.667 0.333
Th 0.000 0.333 0.667
Th 0.500 0.000 0.000
Ge 0.500 0.000 0.459
Ge 0.500 0.541 0.541
Ge 0.500 0.459 0.000

=====

<two>
This record from the Alexandria database describes a geometry-optimized ThGePb structure. The functional is GGA-PBE.

Values from the calculation:
Theoretical density = 10.54 g/cm3
SG = Cmcm
DOS at the Fermi energy = 0.363 states/eV per atom

Lattice parameters (Å, degrees): 4.216 4.470 8.845 104.64 90.00 90.00
Fractional positions:
Th 0.250 0.094 0.188
Th 0.750 0.906 0.812
Ge 0.250 0.449 0.897
Ge 0.750 0.551 0.103
Pb 0.250 0.747 0.495
Pb 0.750 0.253 0.505

=====

Quick one: most stable of them? <two>

=====

<one>
This record from the Alexandria database describes a geometry-optimized TlGe2Pb2 structure. The functional is GGA-PBE.

Values from the calculation:
Theoretical density = 9.11 g/cm3
SG = P4/mbm
DOS at the Fermi energy = 0.639 states/eV per atom

Lattice parameters (Å, degrees): 9.028 9.028 3.418 90.00 90.00 90.00
Fractional positions:
Pb 0.354 0.854 0.000
Pb 0.854 0.646 0.000
Pb 0.646 0.146 0.000
Pb 0.146 0.354 0.000
Tl 0.000 0.000 0.000
Tl 0.500 0.500 0.000
Ge 0.145 0.645 0.500
Ge 0.645 0.855 0.500
Ge 0.855 0.355 0.500
Ge 0.355 0.145 0.500

=====

<two>
This record from the Alexandria database describes a geometry-optimized TlGe2Pb2 structure. The functional is GGA-PBE.

Values from the calculation:
Theoretical density = 9.19 g/cm3
SG = P4/mbm
DOS at the Fermi energy = 0.528 states/eV per atom

Lattice parameters (Å, degrees): 8.717 8.717 3.634 90.00 90.00 90.00
Fractional positions:
Pb 0.162 0.662 0.500
Pb 0.662 0.838 0.500
Pb 0.838 0.338 0.500
Pb 0.338 0.162 0.500
Tl 0.000 0.000 0.000
Tl 0.500 0.500 0.000
Ge 0.380 0.880 0.000
Ge 0.880 0.620 0.000
Ge 0.620 0.120 0.000
Ge 0.120 0.380 0.000

=====

Quick one: most stable of them? <two>

=====

<one>
This record from the Alexandria database describes a geometry-optimized Tl2GePb structure. The functional is GGA-PBE.

Values from the calculation:
Theoretical density = 10.22 g/cm3
SG = Fm-3m
DOS at the Fermi energy = 0.524 states/eV per atom

Lattice parameters (Å, degrees): 5.409 5.409 5.409 60.00 60.00 60.00
Fractional positions:
Pb 0.500 0.500 0.500
Tl 0.250 0.250 0.250
Tl 0.750 0.750 0.750
Ge 0.000 0.000 0.000

=====

<two>
This record from the Alexandria database describes a geometry-optimized Tl2GePb structure. The functional is GGA-PBE.

Values from the calculation:
Theoretical density = 9.86 g/cm3
SG = R-3m
DOS at the Fermi energy = 0.550 states/eV per atom

Lattice parameters (Å, degrees): 3.397 3.397 11.763 81.70 81.70 60.00
Fractional positions:
Pb 0.000 0.000 0.000
Tl 0.094 0.094 0.717
Tl 0.906 0.906 0.283
Ge 0.500 0.500 0.500

=====

<three>
This record from the Alexandria database describes a geometry-optimized Tl2GePb structure. The functional is GGA-PBE.

Values from the calculation:
Theoretical density = 10.19 g/cm3
SG = P4/mmm
DOS at the Fermi energy = 0.501 states/eV per atom

Lattice parameters (Å, degrees): 4.996 4.740 4.740 90.00 90.00 90.00
Fractional positions:
Pb 0.500 0.000 0.000
Tl 0.000 0.000 0.500
Tl 0.000 0.500 0.000
Ge 0.500 0.500 0.500

=====

<four>
This record from the Alexandria database describes a geometry-optimized Tl2GePb structure. The functional is GGA-PBE.

Values from the calculation:
Theoretical density = 7.71 g/cm3
SG = I-42d
DOS at the Fermi energy = 0.995 states/eV per atom

Lattice parameters (Å, degrees): 6.852 6.852 7.960 64.51 64.51 90.00
Fractional positions:
Pb 0.000 0.000 0.000
Pb 0.750 0.250 0.500
Tl 0.584 0.125 0.250
Tl 0.166 0.625 0.250
Tl 0.375 0.416 0.750
Tl 0.875 0.834 0.750
Ge 0.500 0.500 0.000
Ge 0.250 0.750 0.500

=====

Quick one: most stable of them? <three>